{"formula": "AcNpO6", "functional": "GGA-PBE", "state": "relaxed", "lattice_angstrom": [[7.437, -2.014, 1.131], [-1.291, 4.324, 2.628], [1.328, 0.121, 5.049]], "species": ["O", "O", "O", "O", "Ac", "O", "O", "Np"], "fractional_positions": [[0.291, 0.559, 0.539], [0.182, 0.187, 0.198], [0.173, 0.874, 0.908], [0.818, 0.198, 0.187], [0.500, 0.858, 0.858], [0.827, 0.908, 0.874], [0.709, 0.539, 0.559], [0.000, 0.043, 0.043]], "energy_ev_per_atom": -8.09, "e_above_lowest_polymorph_kj_per_mol_fu": 20.2, "m_tot_mub_per_atom": 0.0000}


{"formula": "AcNp2O8", "functional": "GGA-PBE", "state": "relaxed", "lattice_angstrom": [[5.149, 0.000, 0.000], [0.000, 5.149, 0.000], [0.000, 0.000, 5.987]], "species": ["O", "O", "O", "O", "Np", "O", "Ac", "O", "Np", "O", "O"], "fractional_positions": [[0.750, 0.750, 0.799], [0.250, 0.750, 0.201], [0.250, 0.750, 0.799], [0.250, 0.250, 0.201], [0.000, 0.500, 0.000], [0.750, 0.250, 0.799], [0.500, 0.500, 0.500], [0.750, 0.750, 0.201], [0.500, 0.000, 0.000], [0.750, 0.250, 0.201], [0.250, 0.250, 0.799]], "energy_ev_per_atom": -8.98, "e_above_lowest_polymorph_kj_per_mol_fu": 158.9, "m_tot_mub_per_atom": 0.0920}


{"formula": "Ac5Np2O12", "functional": "GGA-PBE", "state": "relaxed", "lattice_angstrom": [[6.643, 0.000, 0.000], [-3.322, 6.472, -2.027], [0.000, 0.013, 8.136]], "species": ["O", "O", "Ac", "O", "Np", "O", "O", "Ac", "O", "O", "Np", "O", "O", "Ac", "O", "Ac", "O", "O", "Ac"], "fractional_positions": [[0.093, 0.686, 0.422], [0.571, 0.675, 0.919], [0.696, 0.391, 0.829], [0.498, 0.996, 0.178], [0.243, 0.000, 0.000], [0.105, 0.675, 0.919], [0.002, 0.004, 0.187], [0.304, 0.609, 0.171], [0.593, 0.686, 0.422], [0.502, 0.004, 0.822], [0.757, 0.000, 0.000], [0.429, 0.325, 0.081], [0.998, 0.996, 0.813], [0.304, 0.607, 0.636], [0.407, 0.314, 0.578], [0.696, 0.393, 0.364], [0.895, 0.325, 0.081], [0.907, 0.314, 0.578], [0.000, 0.000, 0.500]], "energy_ev_per_atom": -8.85, "m_tot_mub_per_atom": 0.2632}


{"formula": "Ac2NpO6", "functional": "GGA-PBE", "state": "relaxed", "lattice_angstrom": [[6.130, 0.000, -0.007], [0.000, 6.169, 0.000], [0.007, 0.000, 9.682]], "species": ["O", "O", "Np", "O", "O", "O", "O", "O", "O", "Np", "Ac", "O", "O", "Ac", "Ac", "Ac", "O", "O"], "fractional_positions": [[0.355, 0.690, 0.844], [0.290, 0.842, 0.500], [0.500, 0.500, 0.000], [0.855, 0.809, 0.656], [0.645, 0.309, 0.844], [0.355, 0.691, 0.156], [0.710, 0.158, 0.500], [0.790, 0.658, 0.000], [0.210, 0.342, 0.000], [0.000, 0.000, 0.500], [0.000, 0.500, 0.213], [0.145, 0.191, 0.344], [0.145, 0.190, 0.656], [0.500, 0.000, 0.287], [0.000, 0.500, 0.787], [0.500, 0.000, 0.713], [0.855, 0.810, 0.344], [0.645, 0.310, 0.156]], "energy_ev_per_atom": -8.87, "e_above_lowest_polymorph_kj_per_mol_fu": 0.0, "m_tot_mub_per_atom": 0.1111}


{"formula": "Ac2Np2O7", "functional": "GGA-PBE", "state": "relaxed", "lattice_angstrom": [[-3.971, -6.959, 0.603], [3.887, -6.950, -1.071], [1.338, -4.860, 6.257]], "species": ["O", "O", "Ac", "O", "Np", "O", "Np", "O", "Ac", "O", "O", "O", "Ac", "Ac", "O", "O", "O", "Np", "O", "O", "Np", "O"], "fractional_positions": [[0.463, 0.037, 0.037], [0.463, 0.037, 0.463], [0.625, 0.125, 0.625], [0.463, 0.463, 0.037], [0.125, 0.625, 0.125], [0.037, 0.463, 0.463], [0.125, 0.125, 0.125], [0.213, 0.787, 0.787], [0.625, 0.625, 0.125], [0.037, 0.463, 0.037], [0.750, 0.750, 0.750], [0.787, 0.787, 0.213], [0.125, 0.625, 0.625], [0.625, 0.625, 0.625], [0.787, 0.213, 0.213], [0.787, 0.213, 0.787], [0.037, 0.037, 0.463], [0.125, 0.125, 0.625], [0.500, 0.500, 0.500], [0.213, 0.787, 0.213], [0.625, 0.125, 0.125], [0.213, 0.213, 0.787]], "energy_ev_per_atom": -9.51, "m_tot_mub_per_atom": 0.5455}


{"formula": "AcNpPO2", "functional": "GGA-PBE", "state": "relaxed", "lattice_angstrom": [[-3.665, -0.952, -1.453], [2.235, -5.075, 3.348], [-3.240, 2.768, 6.359]], "species": ["Ac", "P", "Np", "Np", "O", "Ac", "O", "P", "O", "O"], "fractional_positions": [[0.269, 0.538, 0.250], [0.462, 0.923, 0.750], [0.000, 0.000, 0.000], [0.000, 0.000, 0.500], [0.835, 0.670, 0.445], [0.731, 0.462, 0.750], [0.165, 0.330, 0.555], [0.538, 0.077, 0.250], [0.835, 0.670, 0.055], [0.165, 0.330, 0.945]], "energy_ev_per_atom": -8.98, "m_tot_mub_per_atom": 0.5939}


{"formula": "AcNpPa2O8", "functional": "GGA-PBE", "state": "relaxed", "lattice_angstrom": [[5.573, 0.000, 0.000], [0.000, 5.573, 0.000], [-2.787, -2.787, 5.501]], "species": ["O", "O", "O", "O", "Pa", "Ac", "O", "O", "Pa", "O", "O", "Np"], "fractional_positions": [[0.879, 0.391, 0.242], [0.880, 0.852, 0.242], [0.610, 0.120, 0.758], [0.149, 0.121, 0.758], [0.500, 0.500, 0.000], [0.750, 0.250, 0.500], [0.148, 0.638, 0.758], [0.609, 0.638, 0.758], [0.250, 0.750, 0.500], [0.362, 0.390, 0.242], [0.362, 0.851, 0.242], [0.000, 0.000, 0.000]], "energy_ev_per_atom": -9.79, "m_tot_mub_per_atom": 0.3350}


{"formula": "Ac2NpPbO6", "functional": "GGA-PBE", "state": "relaxed", "lattice_angstrom": [[5.914, 0.000, 0.000], [0.000, 5.683, 0.000], [0.000, 0.000, 5.683]], "species": ["O", "Np", "Ac", "O", "O", "O", "O", "O", "Pb", "Ac"], "fractional_positions": [[0.748, 0.237, 0.763], [0.579, 0.000, 0.000], [0.999, 0.500, 0.000], [0.748, 0.763, 0.237], [0.212, 0.000, 0.000], [0.748, 0.237, 0.237], [0.748, 0.763, 0.763], [0.129, 0.500, 0.500], [0.538, 0.500, 0.500], [0.999, 0.000, 0.500]], "energy_ev_per_atom": -8.04, "m_tot_mub_per_atom": 0.3007}


{"formula": "AcNpPd2O8", "functional": "GGA-PBE", "state": "relaxed", "lattice_angstrom": [[-2.876, -4.967, 2.382], [3.162, 2.926, 4.479], [-4.221, 3.870, -2.413]], "species": ["O", "O", "O", "O", "Ac", "Np", "Pd", "O", "Pd", "O", "O", "O"], "fractional_positions": [[0.947, 0.666, 0.718], [0.286, 0.449, 0.162], [0.286, 0.124, 0.838], [0.947, 0.229, 0.282], [0.250, 0.750, 0.500], [0.000, 0.000, 0.000], [0.500, 0.500, 0.000], [0.876, 0.714, 0.162], [0.750, 0.250, 0.500], [0.334, 0.053, 0.282], [0.771, 0.053, 0.718], [0.551, 0.714, 0.838]], "energy_ev_per_atom": -7.12, "m_tot_mub_per_atom": 0.1640}


{"formula": "Ac2NpPd3O12", "functional": "GGA-PBE", "state": "relaxed", "lattice_angstrom": [[-6.465, -0.791, -3.323], [-3.164, -6.517, -0.991], [-6.052, -2.039, 3.562]], "species": ["O", "Ac", "Pd", "O", "O", "Pd", "O", "O", "O", "O", "O", "O", "O", "O", "Ac", "O", "Np", "Pd"], "fractional_positions": [[0.346, 0.346, 0.881], [0.598, 0.598, 0.598], [0.000, 0.000, 0.500], [0.912, 0.348, 0.912], [0.881, 0.346, 0.346], [0.500, 0.000, 0.000], [0.912, 0.912, 0.348], [0.654, 0.119, 0.654], [0.652, 0.088, 0.088], [0.088, 0.652, 0.088], [0.088, 0.088, 0.652], [0.346, 0.881, 0.346], [0.348, 0.912, 0.912], [0.654, 0.654, 0.119], [0.402, 0.402, 0.402], [0.119, 0.654, 0.654], [0.000, 0.000, 0.000], [0.000, 0.500, 0.000]], "energy_ev_per_atom": -6.91, "m_tot_mub_per_atom": 0.0582}


{"formula": "Ac2NpPdO8", "functional": "GGA-PBE", "state": "relaxed", "lattice_angstrom": [[4.496, -0.363, 0.230], [-0.360, 5.461, -0.554], [0.384, -0.775, 7.879]], "species": ["O", "O", "Ac", "O", "O", "O", "O", "Pd", "O", "Ac", "O", "Np"], "fractional_positions": [[0.309, 0.272, 0.463], [0.603, 0.783, 0.007], [0.551, 0.431, 0.737], [0.896, 0.285, 0.167], [0.397, 0.217, 0.993], [0.104, 0.715, 0.833], [0.691, 0.728, 0.537], [0.000, 0.000, 0.500], [0.976, 0.160, 0.759], [0.449, 0.569, 0.263], [0.024, 0.840, 0.241], [0.000, 0.000, 0.000]], "energy_ev_per_atom": -7.96, "m_tot_mub_per_atom": 0.0854}


{"formula": "AcPm2NpO8", "functional": "GGA-PBE", "state": "relaxed", "lattice_angstrom": [[4.084, -0.214, -0.001], [-0.214, 5.578, -0.006], [0.003, 0.008, 7.716]], "species": ["Ac", "O", "O", "O", "O", "Pm", "O", "O", "O", "Pm", "O", "Np"], "fractional_positions": [[0.000, 0.000, 0.500], [0.486, 0.736, 0.500], [0.434, 0.215, 0.000], [0.961, 0.236, 0.209], [0.961, 0.236, 0.791], [0.500, 0.500, 0.747], [0.039, 0.764, 0.791], [0.566, 0.785, 0.000], [0.039, 0.764, 0.209], [0.500, 0.500, 0.253], [0.514, 0.264, 0.500], [0.000, 0.000, 0.000]], "energy_ev_per_atom": -8.65, "m_tot_mub_per_atom": 0.0000}


{"formula": "Ac2PmNpO6", "functional": "GGA-PBE", "state": "relaxed", "lattice_angstrom": [[-1.880, -4.315, 3.965], [4.842, 1.428, 3.850], [-5.037, 5.996, 4.112]], "species": ["Ac", "O", "O", "O", "Ac", "O", "O", "O", "O", "O", "Pm", "O", "Pm", "Ac", "Np", "Ac", "O", "O", "Np", "O"], "fractional_positions": [[0.015, 0.949, 0.251], [0.130, 0.439, 0.752], [0.870, 0.561, 0.248], [0.692, 0.303, 0.570], [0.515, 0.551, 0.751], [0.630, 0.061, 0.252], [0.695, 0.307, 0.934], [0.195, 0.193, 0.434], [0.305, 0.693, 0.066], [0.808, 0.803, 0.930], [0.500, 0.000, 0.000], [0.192, 0.197, 0.070], [0.000, 0.500, 0.500], [0.985, 0.051, 0.749], [0.500, 0.000, 0.500], [0.485, 0.449, 0.249], [0.805, 0.807, 0.566], [0.370, 0.939, 0.748], [0.000, 0.500, 0.000], [0.308, 0.697, 0.430]], "energy_ev_per_atom": -8.69, "m_tot_mub_per_atom": 0.3990}


{"formula": "Ac2PmNpO8", "functional": "GGA-PBE", "state": "relaxed", "lattice_angstrom": [[4.110, -0.235, -0.002], [-0.197, 5.782, -0.007], [0.004, 0.008, 7.797]], "species": ["O", "Np", "O", "Pm", "O", "O", "O", "Ac", "Ac", "O", "O", "O"], "fractional_positions": [[0.423, 0.203, 0.000], [0.000, 0.000, 0.000], [0.957, 0.221, 0.213], [0.000, 0.000, 0.500], [0.043, 0.779, 0.213], [0.577, 0.797, 0.000], [0.489, 0.246, 0.500], [0.500, 0.500, 0.748], [0.500, 0.500, 0.252], [0.043, 0.779, 0.787], [0.511, 0.754, 0.500], [0.957, 0.221, 0.787]], "energy_ev_per_atom": -8.58, "m_tot_mub_per_atom": 0.0000}


{"formula": "AcPrNp2O8", "functional": "GGA-PBE", "state": "relaxed", "lattice_angstrom": [[5.584, 0.000, 0.000], [0.000, 5.584, 0.000], [-2.792, -2.792, 5.435]], "species": ["O", "O", "O", "O", "Ac", "Pr", "O", "Np", "O", "O", "O", "Np"], "fractional_positions": [[0.598, 0.122, 0.753], [0.598, 0.631, 0.753], [0.369, 0.845, 0.247], [0.369, 0.402, 0.247], [0.750, 0.250, 0.500], [0.000, 0.000, 0.000], [0.878, 0.402, 0.247], [0.250, 0.750, 0.500], [0.155, 0.631, 0.753], [0.155, 0.122, 0.753], [0.878, 0.845, 0.247], [0.500, 0.500, 0.000]], "energy_ev_per_atom": -9.33, "m_tot_mub_per_atom": 0.3333}


{"formula": "AcPr2NpO8", "functional": "GGA-PBE", "state": "relaxed", "lattice_angstrom": [[-3.057, -2.590, -0.984], [2.018, 0.457, -5.249], [4.717, -6.057, 1.286]], "species": ["O", "O", "O", "O", "O", "Ac", "Np", "O", "O", "Pr", "O", "Pr"], "fractional_positions": [[0.958, 0.233, 0.208], [0.041, 0.767, 0.208], [0.959, 0.233, 0.792], [0.572, 0.789, 0.000], [0.042, 0.767, 0.792], [0.000, 0.000, 0.500], [0.000, 0.000, 0.000], [0.487, 0.739, 0.500], [0.513, 0.261, 0.500], [0.500, 0.500, 0.252], [0.428, 0.211, 0.000], [0.500, 0.500, 0.748]], "energy_ev_per_atom": -8.63, "m_tot_mub_per_atom": 0.0000}


{"formula": "Ac2PrNpO6", "functional": "GGA-PBE", "state": "relaxed", "lattice_angstrom": [[-2.865, 5.379, -1.025], [-4.406, -1.516, 4.362], [4.956, 3.826, 6.335]], "species": ["O", "O", "Ac", "Np", "O", "O", "O", "O", "Pr", "O", "O", "Ac", "Pr", "O", "O", "Ac", "Np", "O", "O", "Ac"], "fractional_positions": [[0.304, 0.689, 0.066], [0.189, 0.199, 0.074], [0.515, 0.550, 0.752], [0.500, 0.000, 0.500], [0.696, 0.311, 0.934], [0.634, 0.065, 0.255], [0.811, 0.801, 0.926], [0.366, 0.935, 0.745], [0.500, 0.000, 0.000], [0.689, 0.301, 0.574], [0.866, 0.565, 0.245], [0.985, 0.050, 0.748], [0.000, 0.500, 0.500], [0.311, 0.699, 0.426], [0.804, 0.811, 0.566], [0.015, 0.950, 0.252], [0.000, 0.500, 0.000], [0.196, 0.189, 0.434], [0.134, 0.435, 0.755], [0.485, 0.450, 0.248]], "energy_ev_per_atom": -8.66, "m_tot_mub_per_atom": 0.3988}


{"formula": "AcPrNpO6", "functional": "GGA-PBE", "state": "relaxed", "lattice_angstrom": [[-0.684, -5.544, 2.246], [-1.305, 1.090, -5.776], [9.465, -2.202, -2.554]], "species": ["Pr", "O", "O", "Ac", "O", "Np", "O", "Np", "O", "O", "O", "O", "Ac", "O", "Pr", "O", "O", "O"], "fractional_positions": [[0.333, 0.667, 0.250], [0.337, 0.961, 0.639], [0.337, 0.376, 0.861], [0.000, 0.000, 0.500], [0.376, 0.337, 0.361], [0.667, 0.333, 0.250], [0.039, 0.376, 0.639], [0.333, 0.667, 0.750], [0.663, 0.624, 0.139], [0.663, 0.039, 0.361], [0.624, 0.663, 0.639], [0.961, 0.624, 0.361], [0.000, 0.000, 0.000], [0.624, 0.961, 0.861], [0.667, 0.333, 0.750], [0.039, 0.663, 0.861], [0.376, 0.039, 0.139], [0.961, 0.337, 0.139]], "energy_ev_per_atom": -8.89, "m_tot_mub_per_atom": 0.1111}